Here is a relaxed Sm4Pt2O crystal from Alexandria via LeMat-Bulk. Energies are from PBE-GGA.

Lattice parameters (Å, degrees): 4.7418 4.7418 8.0922 107.04 107.04 90.00
Fractional coordinates of all 7 atoms:
O: 0.0000 0.0000 0.0000
Sm: 0.8159 0.8159 0.6319
Sm: 0.1841 0.1841 0.3681
Sm: 0.0000 0.5000 0.0000
Sm: 0.5000 0.0000 0.0000
Pt: 0.6279 0.6279 0.2559
Pt: 0.3721 0.3721 0.7441

Calculated values
Total energy   -46.1 eV per cell
Uncorrected formation energy   -1.45 eV/atom